1.
PBE RbAcHgCl6, relaxed; final energy = -0.12964 Ha/atom; SG = P-31c; raw formation energy = -1475.5 kJ/mol of formula units
1.0
-7.110 1.094 1.322
2.151 -2.653 -6.468
-1.112 -13.457 5.151
Rb Ac Hg Cl
2 2 2 12
Cartesian
0.000 0.000 0.000 Rb
-0.556 -6.728 2.575 Rb
-1.214 -4.769 -2.583 Ac
-4.857 -10.248 2.589 Ac
-4.301 -3.520 0.013 Hg
-1.770 -11.497 -0.008 Hg
-3.366 -2.829 -2.461 Cl
-6.366 -1.758 -0.311 Cl
-1.157 -10.819 -2.585 Cl
0.296 -13.259 0.317 Cl
-2.310 -5.394 0.027 Cl
-6.048 -5.429 -0.870 Cl
-3.269 -13.506 -1.099 Cl
-4.913 -4.198 2.590 Cl
-0.023 -9.588 0.875 Cl
-2.802 -1.510 1.105 Cl
-3.760 -9.623 -0.022 Cl
-2.705 -12.188 2.467 Cl

2.
PBE PuTiV2, relaxed; E above lowest polymorph = 0.062 eV per atom; final energy = -0.36372 Ha/atom; energy of formation from the pure elements = 219 meV/atom; SG = P4/mmm
1.0
3.197 0.000 0.000
0.000 3.197 0.000
0.000 0.000 6.273
V Ti Pu
2 1 1
Cartesian
0.000 0.000 4.640 V
0.000 0.000 1.633 V
1.599 1.599 0.000 Ti
1.599 1.599 3.137 Pu

3.
PBE NbSnRh3, relaxed; final energy = -0.22086 Ha/atom; energy of formation from the pure elements = 1215 meV/atom; SG = Pm-3m
1.0
4.736 0.000 0.000
0.000 4.736 0.000
0.000 0.000 4.736
Nb Rh Sn
1 3 1
Cartesian
2.368 2.368 2.368 Nb
0.000 2.368 0.000 Rh
0.000 0.000 2.368 Rh
2.368 0.000 0.000 Rh
0.000 0.000 0.000 Sn